A relaxed RbHgNO2 crystal. Source: the Alexandria database, functional PBE.

```
RbHgNO2
1.0
5.343 0.000 0.000
0.000 5.343 0.000
0.000 0.000 6.008
Rb Hg N O
1 1 1 2
direct
0.000 0.000 0.000
0.500 0.500 0.500
0.000 0.000 0.500
0.000 0.500 0.000
0.500 0.000 0.000
```

Properties
DOS(E_F) (states/eV per cell): 2.5
Total moment (μB per atom): 1.200
Crystal system: tetragonal
Calculated total energy (eV/atom): -2.502
Formation energy from raw total energies (kJ/mol of formula units): 676

---

A relaxed ReHgNO2 crystal. Source: the Alexandria database, functional PBE.

```
ReHgNO2
1.0
3.895 0.000 0.000
0.000 3.895 0.000
0.000 0.000 4.073
Re Hg N O
1 1 1 2
direct
0.000 0.000 0.000
0.500 0.500 0.500
0.000 0.000 0.500
0.000 0.500 0.000
0.500 0.000 0.000
```

Properties
DOS(E_F) (states/eV per cell): 2.3
Total moment (μB per atom): 0.000
Crystal system: tetragonal
Calculated total energy (eV/atom): -6.529
Formation energy from raw total energies (kJ/mol of formula units): -160

---

A relaxed ReHgNO2 crystal. Source: the Alexandria database, functional PBE.

```
ReHgNO2
1.0
4.117 0.000 0.000
0.000 4.117 0.000
0.000 0.000 4.283
Re Hg N O
1 1 1 2
direct
0.000 0.000 0.000
0.500 0.500 0.500
0.500 0.500 0.000
0.000 0.500 0.500
0.500 0.000 0.500
```

Properties
DOS(E_F) (states/eV per cell): 3.6
Total moment (μB per atom): 0.751
Crystal system: tetragonal
Calculated total energy (eV/atom): -4.293
Formation energy from raw total energies (kJ/mol of formula units): 919

---

A relaxed HgRhNO2 crystal. Source: the Alexandria database, functional PBE.

```
HgRhNO2
1.0
4.163 0.000 0.000
0.000 4.163 0.000
0.000 0.000 3.675
Hg Rh N O
1 1 1 2
direct
0.000 0.000 0.000
0.500 0.500 0.500
0.500 0.500 0.000
0.000 0.500 0.500
0.500 0.000 0.500
```

Properties
DOS(E_F) (states/eV per cell): 4.5
Total moment (μB per atom): 0.000
Crystal system: tetragonal
Calculated total energy (eV/atom): -4.779
Formation energy from raw total energies (kJ/mol of formula units): 193

---

A relaxed HgRhNO2 crystal. Source: the Alexandria database, functional PBE.

```
HgRhNO2
1.0
4.248 0.000 0.000
0.000 4.248 0.000
0.000 0.000 4.134
Hg Rh N O
1 1 1 2
direct
0.000 0.000 0.000
0.500 0.500 0.500
0.000 0.000 0.500
0.000 0.500 0.000
0.500 0.000 0.000
```

Properties
DOS(E_F) (states/eV per cell): 3.5
Total moment (μB per atom): 0.881
Crystal system: tetragonal
Calculated total energy (eV/atom): -3.556
Formation energy from raw total energies (kJ/mol of formula units): 783

---

A relaxed HgRuNO2 crystal. Source: the Alexandria database, functional PBE.

```
HgRuNO2
1.0
4.208 0.000 0.000
0.000 4.208 0.000
0.000 0.000 4.147
Hg Ru N O
1 1 1 2
direct
0.000 0.000 0.000
0.500 0.500 0.500
0.000 0.000 0.500
0.000 0.500 0.000
0.500 0.000 0.000
```

Properties
DOS(E_F) (states/eV per cell): 2.7
Total moment (μB per atom): 1.052
Crystal system: tetragonal
Calculated total energy (eV/atom): -3.889
Formation energy from raw total energies (kJ/mol of formula units): 808